# Sc8ZnTc2

A relaxed structure of Sc8ZnTc2 (GGA-PBE, the Alexandria database).

The structure in extended XYZ format:
```
11
Lattice="4.688 0.057 -1.403 -0.832 5.856 -2.534 -0.067 0.053 8.314" Properties=species:S:1:pos:R:3 pbc="T T T"
Sc 2.704 1.629 5.996
Zn -0.223 5.701 4.923
Tc 3.231 3.684 -0.680
Sc 0.876 5.066 0.040
Sc 3.951 2.676 1.679
Sc 0.127 3.253 5.983
Sc 4.512 0.198 3.446
Sc 2.715 5.556 -2.333
Sc 1.818 4.266 3.151
Sc 1.098 2.039 0.653
Tc 1.924 1.731 3.405
```

Calculated values
ΔE_f: -0.18 eV per atom


# CeSmNp2As4

A relaxed structure of CeSmNp2As4 (GGA-PBE, the Alexandria database).

The structure in extended XYZ format:
```
8
Lattice="-2.609 0.827 -3.131 2.914 -5.360 -3.845 -5.500 -2.562 3.906" Properties=species:S:1:pos:R:3 pbc="T T T"
As 0.775 -4.694 -1.886
Sm 0.000 0.000 0.000
Np -1.293 -3.961 0.031
Np -4.055 -0.867 0.387
As -1.991 -1.608 -1.528
As -3.204 -5.488 -1.542
Ce 0.152 -2.266 -3.488
As -3.361 -3.228 1.947
```

Calculated values
ΔE_f: -1.07 eV per atom


# TbMg2Ru

A relaxed structure of TbMg2Ru (GGA-PBE, the Alexandria database).

The structure in extended XYZ format:
```
32
Lattice="-4.890 -0.277 -2.169 2.828 -5.444 -5.681 -3.519 -11.656 9.420" Properties=species:S:1:pos:R:3 pbc="T T T"
Mg -1.438 -12.246 4.166
Tb 0.513 -5.421 -3.778
Ru -3.387 -10.908 5.692
Ru -1.607 -5.079 0.991
Mg -0.560 -8.631 -3.611
Ru -3.975 -12.299 0.579
Ru -1.459 -15.006 4.426
Mg -5.234 -3.030 -0.403
Ru -4.122 -2.371 -2.856
Ru -2.194 -6.469 -4.121
Tb -3.628 -14.269 2.640
Mg -5.021 -8.747 5.182
Mg -1.652 -6.530 -1.419
Ru -4.011 -8.093 2.684
Mg -4.362 -11.575 8.203
Tb -1.953 -3.108 -1.070
Mg -2.831 -11.622 -1.857
Mg -4.143 -5.131 -2.596
Tb -1.242 -11.249 0.934
Mg -0.347 -14.348 1.974
Tb -1.818 -8.830 4.481
Mg -2.303 -3.717 -4.456
Tb -4.339 -6.128 0.637
Tb -6.094 -11.956 5.349
Mg -3.279 -13.661 6.027
Mg -2.750 -5.755 3.427
Mg -3.914 -9.537 0.319
Tb -3.763 -8.548 -2.910
Ru -1.570 -9.284 -1.113
Mg -3.929 -10.848 2.989
Mg -1.667 -7.841 1.251
Mg -1.219 -5.803 -6.633
```

Calculated values
ΔE_f: -0.18 eV per atom


# Cd3IrSe

A relaxed structure of Cd3IrSe (GGA-PBE, the Alexandria database).

The structure in extended XYZ format:
```
5
Lattice="5.167 0.000 0.000 0.000 5.167 0.000 0.000 0.000 5.167" Properties=species:S:1:pos:R:3 pbc="T T T"
Cd 0.000 2.583 0.000
Cd 2.583 0.000 0.000
Ir 0.000 0.000 0.000
Se 2.583 2.583 2.583
Cd 0.000 0.000 2.583
```

Calculated values
Uncorrected formation energy: 466 meV/atom


# Cs5K2HgAu2

A relaxed structure of Cs5K2HgAu2 (GGA-PBE, the Alexandria database).

The structure in extended XYZ format:
```
20
Lattice="4.831 0.000 0.000 0.000 15.808 0.000 0.000 0.000 15.808" Properties=species:S:1:pos:R:3 pbc="T T T"
Cs 2.416 8.701 11.258
Cs 2.416 12.455 15.012
Cs 2.416 11.258 7.108
K 0.000 4.648 12.552
Hg 0.000 7.904 7.904
Cs 2.416 15.012 3.354
Cs 2.416 7.108 4.550
Au 0.000 13.694 5.790
Au 0.000 10.018 13.694
Hg 0.000 0.000 0.000
Cs 2.416 0.796 12.455
Au 0.000 5.790 2.114
K 0.000 11.161 3.256
Cs 2.416 7.904 0.000
K 0.000 12.552 11.161
Cs 2.416 0.000 7.904
Au 0.000 2.114 10.018
K 0.000 3.256 4.648
Cs 2.416 3.354 0.796
Cs 2.416 4.550 8.701
```

Calculated values
ΔE_f: -0.18 eV per atom


# Sc2Sn2Ge

A relaxed structure of Sc2Sn2Ge (GGA-PBE, the Alexandria database).

The structure in extended XYZ format:
```
10
Lattice="-1.976 -1.292 7.111 4.925 -5.636 0.344 2.946 2.654 1.301" Properties=species:S:1:pos:R:3 pbc="T T T"
Sc 4.441 -2.678 2.100
Sn -0.589 -1.584 4.564
Sc 4.228 -4.211 5.709
Ge 1.475 -3.464 3.728
Sn 1.529 -2.230 1.088
Sn 3.538 -5.345 2.891
Ge 0.000 0.000 0.000
Sc 1.455 -1.597 6.656
Sc 1.667 -0.063 3.047
Sn 1.421 -4.698 6.368
```

Calculated values
ΔE_f: -0.36 eV per atom


# Cs2LiBrF6

A relaxed structure of Cs2LiBrF6 (GGA-PBE, the Alexandria database).

The structure in extended XYZ format:
```
10
Lattice="6.424 0.000 0.000 0.000 6.424 0.000 3.212 3.212 4.423" Properties=species:S:1:pos:R:3 pbc="T T T"
F 6.424 6.424 1.914
F 4.671 4.671 0.000
Cs 3.212 6.424 2.212
Br 0.000 0.000 0.000
F 1.753 4.671 0.000
Li 3.212 3.212 0.000
F 4.671 1.753 0.000
Cs 6.424 3.212 2.212
F 3.212 3.212 2.509
F 1.753 1.753 0.000
```

Calculated values
Uncorrected formation energy: -1943 meV/atom


# Pm4InSb2

A relaxed structure of Pm4InSb2 (GGA-PBE, the Alexandria database).

The structure in extended XYZ format:
```
7
Lattice="-2.342 3.015 2.162 -5.339 -5.442 1.806 7.197 -0.365 3.851" Properties=species:S:1:pos:R:3 pbc="T T T"
Pm -2.632 -3.893 2.578
Pm 0.967 -2.790 4.938
Sb 1.636 -0.692 2.738
In 0.000 0.000 0.000
Sb -2.121 -2.099 5.082
Pm 2.148 1.102 5.242
Pm -1.451 -0.002 2.882
```

Calculated values
Uncorrected formation energy: -637 meV/atom


# LaPr4Se4

A relaxed structure of LaPr4Se4 (GGA-PBE, the Alexandria database).

The structure in extended XYZ format:
```
9
Lattice="-4.877 2.322 -2.628 -2.599 -4.006 -5.581 -6.349 -2.237 2.941" Properties=species:S:1:pos:R:3 pbc="T T T"
Pr -8.075 -2.492 -0.946
Se -6.478 -0.093 -1.790
Pr -5.749 -1.429 -4.322
Pr -9.769 -2.678 -4.830
La 0.000 0.000 0.000
Se -7.346 -3.828 -3.478
Se -10.495 -1.298 -2.265
Pr -4.055 -1.243 -0.438
Se -3.329 -2.623 -3.003
```

Calculated values
Uncorrected formation energy: -1623 meV/atom


# SrDy2Pd

A relaxed structure of SrDy2Pd (GGA-PBE, the Alexandria database).

The structure in extended XYZ format:
```
4
Lattice="-3.268 1.413 -2.111 -3.480 1.005 2.002 0.966 9.829 1.025" Properties=species:S:1:pos:R:3 pbc="T T T"
Sr -2.891 6.123 0.458
Pd 0.000 0.000 0.000
Dy -4.026 10.055 0.790
Dy -1.755 2.191 0.127
```

Calculated values
ΔE_f: -0.29 eV per atom


# Ho3NpTl4Se8

A relaxed structure of Ho3NpTl4Se8 (GGA-PBE, the Alexandria database).

The structure in extended XYZ format:
```
16
Lattice="8.374 0.000 0.000 0.000 9.134 0.532 -4.187 -4.188 5.922" Properties=species:S:1:pos:R:3 pbc="T T T"
Ho 4.187 4.567 0.266
Np 0.000 4.567 0.266
Se 2.120 2.567 0.350
Ho 2.094 2.473 3.227
Se 0.000 4.447 3.180
Tl 2.094 -2.094 2.961
Se -2.067 2.379 6.104
Tl 4.187 0.000 0.000
Se 4.187 4.457 3.150
Tl -2.094 -2.094 2.961
Se 6.254 2.567 0.350
Se 4.187 0.499 3.274
Se 0.000 0.489 3.304
Se 2.067 2.379 6.104
Tl 0.000 0.000 0.000
Ho -2.094 2.473 3.227
```

Calculated values
Uncorrected formation energy: -1255 meV/atom


# DySc5In4

A relaxed structure of DySc5In4 (GGA-PBE, the Alexandria database).

The structure in extended XYZ format:
```
20
Lattice="-1.472 -6.980 -0.406 7.119 -1.845 5.916 -5.067 0.700 6.315" Properties=species:S:1:pos:R:3 pbc="T T T"
Sc -2.670 -0.298 3.120
Sc 3.946 -2.810 5.765
Sc 0.511 -6.282 8.623
Sc 1.096 -2.416 9.318
In -2.282 -6.620 0.681
In 1.689 -4.308 1.832
Sc -2.957 -5.383 5.741
Sc 2.225 -7.254 2.589
Sc 2.727 -6.588 5.860
Dy 0.333 -3.858 5.924
In 3.883 -4.877 3.656
Dy -0.779 -3.694 -0.215
Sc -0.741 -5.689 2.978
In 2.790 -4.521 7.969
Sc -2.555 -1.469 6.284
Sc 0.295 -1.863 2.731
In 0.114 -0.695 7.175
In -5.626 -6.157 4.850
In 1.836 -0.933 5.028
In -2.134 -3.245 3.877
```

Calculated values
ΔE_f: -0.03 eV per atom